1.
The following is a DFT calculation (PBE) of crystalline CsRuS2N at its relaxed geometry.

abc: 5.4355 5.4355 4.2962
angles: 90.00 90.00 90.00
Space group P4/mmm (No. 123)
One atom of each set of equivalent atoms:
Cs 0.0000 0.0000 0.0000
Ru 0.5000 0.5000 0.5000
S 0.0000 0.5000 0.0000
N 0.0000 0.0000 0.5000

## Properties
* V: 127 Å³ per cell
* DFT total energy: -13.87 eV per cell
* polymorph energy (0 for the lowest one): 11.79 eV per formula unit
* formation energy (no corrections): 2567 meV per atom
* D(E_F): 8.72 states/eV per cell

2.
The following is a DFT calculation (PBE) of crystalline CsRuSe2N at its relaxed geometry.

abc: 5.7586 5.7586 4.3168
angles: 90.00 90.00 90.00
Space group P4/mmm (No. 123)
One atom of each set of equivalent atoms:
Cs 0.0000 0.0000 0.0000
Ru 0.5000 0.5000 0.5000
Se 0.0000 0.5000 0.0000
N 0.0000 0.0000 0.5000

## Properties
* V: 143 Å³ per cell
* DFT total energy: -12.47 eV per cell
* polymorph energy (0 for the lowest one): 12.23 eV per formula unit
* formation energy (no corrections): 2592 meV per atom
* D(E_F): 12.48 states/eV per cell

3.
The following is a DFT calculation (PBE) of crystalline CsRuSeN2 at its relaxed geometry.

abc: 4.1936 4.1936 7.0691
angles: 90.00 90.00 90.00
Space group P4/mmm (No. 123)
One atom of each set of equivalent atoms:
Cs 0.0000 0.0000 0.0000
Ru 0.5000 0.5000 0.5000
Se 0.0000 0.0000 0.5000
N 0.0000 0.5000 0.0000

## Properties
* V: 124 Å³ per cell
* DFT total energy: -16.02 eV per cell
* formation energy (no corrections): 2849 meV per atom
* D(E_F): 6.66 states/eV per cell

4.
The following is a DFT calculation (PBE) of crystalline CsRuSe2N at its relaxed geometry.

abc: 5.5138 5.5138 3.7280
angles: 90.00 90.00 90.00
Space group P4/mmm (No. 123)
One atom of each set of equivalent atoms:
Cs 0.0000 0.0000 0.0000
Ru 0.5000 0.5000 0.5000
Se 0.0000 0.5000 0.5000
N 0.5000 0.5000 0.0000

## Properties
* V: 113 Å³ per cell
* DFT total energy: -24.69 eV per cell
* polymorph energy (0 for the lowest one): 0.00 eV per formula unit
* formation energy (no corrections): 146 meV per atom
* D(E_F): 4.45 states/eV per cell

5.
The following is a DFT calculation (PBE) of crystalline CsS2N2 at its relaxed geometry.

abc: 3.9171 4.0362 8.0506
angles: 96.45 103.91 90.17
Space group P-1 (No. 2)
One atom of each set of equivalent atoms:
Cs 0.0000 0.0000 0.0000
S 0.3081 0.5827 0.6133
N 0.3866 0.3940 0.7696

## Properties
* V: 123 Å³ per cell
* DFT total energy: -24.39 eV per cell
* polymorph energy (0 for the lowest one): 0.00 eV per formula unit
* formation energy (no corrections): 275 meV per atom
* D(E_F): 3.49 states/eV per cell

6.
The following is a DFT calculation (PBE) of crystalline CsS2N at its relaxed geometry.

abc: 3.5282 3.5282 25.7240
angles: 90.00 90.00 120.00
Space group R-3m (No. 166, hexagonal axes)
One atom of each set of equivalent atoms:
Cs 0.0000 0.0000 0.0000
S 0.0000 0.0000 0.1229
N 0.0000 0.0000 0.5000

## Properties
* V: 277 Å³ per cell
* DFT total energy: -36.79 eV per cell
* polymorph energy (0 for the lowest one): 4.95 eV per formula unit
* formation energy (no corrections): 1292 meV per atom
* D(E_F): 4.75 states/eV per cell

7.
The following is a DFT calculation (PBE) of crystalline CsSN2 at its relaxed geometry.

abc: 3.5208 5.3719 13.6996
angles: 90.00 90.00 90.00
Space group Amm2 (No. 38)
One atom of each set of equivalent atoms:
Cs 0.0000 0.0000 0.0000
S 0.5000 0.0000 0.4109
N 0.5000 0.1037 0.6883

## Properties
* V: 259 Å³ per cell
* DFT total energy: -43.98 eV per cell
* polymorph energy (0 for the lowest one): 0.00 eV per formula unit
* formation energy (no corrections): -89 meV per atom
* D(E_F): 3.32 states/eV per cell

8.
The following is a DFT calculation (PBE) of crystalline Cs2SN at its relaxed geometry.

abc: 8.2082 8.2082 8.2082
angles: 90.00 90.00 90.00
Space group Fm-3m (No. 225)
One atom of each set of equivalent atoms:
Cs 0.2500 0.2500 0.2500
S 0.0000 0.0000 0.0000
N 0.0000 0.0000 0.5000

## Properties
* V: 553 Å³ per cell
* DFT total energy: -50.46 eV per cell
* formation energy (no corrections): 386 meV per atom
* D(E_F): 0.00 states/eV per cell

9.
The following is a DFT calculation (PBE) of crystalline Cs3SN4 at its relaxed geometry.

abc: 20.4426 4.3512 6.0157
angles: 90.00 106.52 90.00
Space group C2/m (No. 12)
One atom of each set of equivalent atoms:
Cs 0.0000 0.0000 0.0000
Cs 0.1347 0.0000 0.6288
S 0.0000 0.5000 0.5000
N 0.1821 0.5000 0.2688
N 0.1840 0.5000 0.0796

## Properties
* V: 513 Å³ per cell
* DFT total energy: -86.43 eV per cell
* formation energy (no corrections): -403 meV per atom
* D(E_F): 10.74 states/eV per cell

10.
The following is a DFT calculation (PBE) of crystalline Cs2SN2 at its relaxed geometry.

abc: 10.3224 6.1059 10.2967
angles: 90.00 110.44 90.00
Space group C2/c (No. 15)
One atom of each set of equivalent atoms:
Cs 0.1242 0.2388 0.1258
S 0.0000 0.2619 0.7500
N 0.2318 0.3261 0.5193

## Properties
* V: 608 Å³ per cell
* DFT total energy: -101.44 eV per cell
* formation energy (no corrections): -575 meV per atom

11.
The following is a DFT calculation (PBE) of crystalline CsS2N at its relaxed geometry.

abc: 5.7977 5.7977 18.3769
angles: 90.00 90.00 120.00
Space group R-3m (No. 166, hexagonal axes)
One atom of each set of equivalent atoms:
Cs 0.0000 0.0000 0.0000
S 0.0000 0.0000 0.4141
N 0.0000 0.0000 0.5000

## Properties
* V: 535 Å³ per cell
* DFT total energy: -51.65 eV per cell
* polymorph energy (0 for the lowest one): 0.00 eV per formula unit
* formation energy (no corrections): 54 meV per atom

12.
The following is a DFT calculation (PBE) of crystalline CsS4N4 at its relaxed geometry.

abc: 6.6697 7.3926 7.3972
angles: 71.01 63.92 63.77
Space group P-1 (No. 2)
One atom of each set of equivalent atoms:
Cs 0.0000 0.0000 0.0000
S 0.3714 0.2449 0.0184
S 0.3721 0.0187 0.2444
N 0.0000 0.4352 0.5647
N 0.4443 0.5550 0.5550

## Properties
* V: 290 Å³ per cell
* DFT total energy: -52.35 eV per cell
* formation energy (no corrections): -187 meV per atom
* D(E_F): 0.38 states/eV per cell

13.
The following is a DFT calculation (PBE) of crystalline CsS6N2 at its relaxed geometry.

abc: 13.4196 6.3316 6.2442
angles: 90.00 110.72 90.00
Space group C2/m (No. 12)
One atom of each set of equivalent atoms:
Cs 0.0000 0.0000 0.0000
S 0.0000 0.3433 0.5000
S 0.2310 0.2309 0.6593
N 0.2267 0.5000 0.2322

## Properties
* V: 496 Å³ per cell
* DFT total energy: -80.60 eV per cell
* formation energy (no corrections): 219 meV per atom
* D(E_F): 13.41 states/eV per cell

14.
The following is a DFT calculation (PBE) of crystalline Cs3SN at its relaxed geometry.

abc: 5.7199 5.7199 5.7199
angles: 90.00 90.00 90.00
Space group Pm-3m (No. 221)
One atom of each set of equivalent atoms:
Cs 0.0000 0.0000 0.5000
S 0.5000 0.5000 0.5000
N 0.0000 0.0000 0.0000

## Properties
* V: 187 Å³ per cell
* DFT total energy: -14.32 eV per cell
* polymorph energy (0 for the lowest one): 0.00 eV per formula unit
* formation energy (no corrections): 139 meV per atom
* D(E_F): 8.76 states/eV per cell

15.
The following is a DFT calculation (PBE) of crystalline CsSN2 at its relaxed geometry.

abc: 8.0996 8.0996 8.0996
angles: 90.00 90.00 90.00
Space group Fd-3m (No. 227, origin choice 2)
One atom of each set of equivalent atoms:
Cs 0.1250 0.1250 0.1250
S 0.1250 0.1250 0.6250
N 0.0000 0.0000 0.5000

## Properties
* V: 531 Å³ per cell
* DFT total energy: -148.63 eV per cell
* polymorph energy (0 for the lowest one): 3.41 eV per formula unit
* formation energy (no corrections): 763 meV per atom
* D(E_F): 0.27 states/eV per cell

16.
The following is a DFT calculation (PBE) of crystalline CsS2N2 at its relaxed geometry.

abc: 4.1907 4.1907 7.0697
angles: 90.00 90.00 90.00
Space group P4/mmm (No. 123)
One atom of each set of equivalent atoms:
Cs 0.0000 0.0000 0.0000
S 0.0000 0.0000 0.5000
S 0.5000 0.5000 0.5000
N 0.0000 0.5000 0.0000

## Properties
* V: 124 Å³ per cell
* DFT total energy: -12.03 eV per cell
* polymorph energy (0 for the lowest one): 12.36 eV per formula unit
* formation energy (no corrections): 2746 meV per atom
* D(E_F): 4.52 states/eV per cell

17.
The following is a DFT calculation (PBE) of crystalline CsS2N at its relaxed geometry.

abc: 9.1001 9.1001 9.1001
angles: 90.00 90.00 90.00
Space group Fd-3m (No. 227, origin choice 2)
One atom of each set of equivalent atoms:
Cs 0.1250 0.1250 0.1250
S 0.0000 0.0000 0.5000
N 0.1250 0.1250 0.6250

## Properties
* V: 754 Å³ per cell
* DFT total energy: -129.22 eV per cell
* polymorph energy (0 for the lowest one): 1.07 eV per formula unit
* formation energy (no corrections): 320 meV per atom
* D(E_F): 9.09 states/eV per cell

18.
The following is a DFT calculation (PBE) of crystalline Cs4SN12 at its relaxed geometry.

abc: 9.8496 9.8496 9.8496
angles: 90.00 90.00 90.00
Space group Im-3 (No. 204)
One atom of each set of equivalent atoms:
Cs 0.2500 0.2500 0.2500
S 0.0000 0.0000 0.0000
N 0.0000 0.4422 0.1488

## Properties
* V: 956 Å³ per cell
* DFT total energy: -219.51 eV per cell
* formation energy (no corrections): -136 meV per atom
* D(E_F): 25.25 states/eV per cell

19.
The following is a DFT calculation (PBE) of crystalline CsSbSN2 at its relaxed geometry.

abc: 4.5132 4.5132 5.2034
angles: 90.00 90.00 90.00
Space group P4/mmm (No. 123)
One atom of each set of equivalent atoms:
Cs 0.0000 0.0000 0.0000
Sb 0.5000 0.5000 0.5000
S 0.5000 0.5000 0.0000
N 0.0000 0.5000 0.5000

## Properties
* V: 106 Å³ per cell
* DFT total energy: -21.24 eV per cell
* polymorph energy (0 for the lowest one): 0.00 eV per formula unit
* formation energy (no corrections): 903 meV per atom
* D(E_F): 3.23 states/eV per cell

20.
The following is a DFT calculation (PBE) of crystalline CsSbS2N at its relaxed geometry.

abc: 5.6030 5.6030 4.2953
angles: 90.00 90.00 90.00
Space group P4/mmm (No. 123)
One atom of each set of equivalent atoms:
Cs 0.0000 0.0000 0.0000
Sb 0.5000 0.5000 0.5000
S 0.0000 0.5000 0.0000
N 0.0000 0.0000 0.5000

## Properties
* V: 135 Å³ per cell
* DFT total energy: -12.28 eV per cell
* polymorph energy (0 for the lowest one): 7.79 eV per formula unit
* formation energy (no corrections): 1856 meV per atom
* D(E_F): 8.96 states/eV per cell